Rb2Cu2H after structural relaxation, computed with PBE-GGA.

Cell lengths 8.1762, 8.1762, 5.2801 Å; angles 90.00, 90.00, 90.00 degrees
Last column: nearest neighbours and their distance in Å.
Sites, in units of the cell vectors:
Rb1 0.1954 0.3046 0.0000  2 H 2.96
Rb2 0.3046 0.8046 0.0000  2 H 2.96
Rb3 0.6954 0.1954 0.0000  2 H 2.96
Rb4 0.8046 0.6954 0.0000  2 H 2.96
Cu1 0.0998 0.5998 0.5000  1 Cu 2.31
Cu2 0.4002 0.0998 0.5000  1 Cu 2.31
Cu3 0.5998 0.9002 0.5000  1 Cu 2.31
Cu4 0.9002 0.4002 0.5000  1 Cu 2.31
H1 0.0000 0.0000 0.0000  4 Rb 2.96
H2 0.5000 0.5000 0.0000  4 Rb 2.96

Properties
The calculated total energy is -20.89 eV/cell. As for the theoretical density: 2.81 Mg/m³. The calculation puts the excess energy over the best structure of this formula in the dataset at 38.73 kJ/mol of atoms.